Record 1
The following is a DFT calculation (PBE) of crystalline CrSe at its relaxed geometry.

a = 6.8448 Å, b = 6.8448 Å, c = 6.8448 Å
α = 153.51°, β = 145.09°, γ = 44.35°
Element x y z (fractional)
1 Cr 0.3063 0.0563 0.2500
2 Cr 0.6937 0.9437 0.7500
3 Se 0.1481 0.3981 0.7500
4 Se 0.8519 0.6019 0.2500

Summary:
Its uncorrected formation energy is 0.081 eV per atom. Its symmetry is Imma, No. 74.



Record 2
The following is a DFT calculation (PBE) of crystalline Cr2Se at its relaxed geometry.

a = 13.0350 Å, b = 13.0350 Å, c = 13.0350 Å
α = 163.08°, β = 163.08°, γ = 24.02°
Element x y z (fractional)
1 Cr 0.1234 0.3734 0.7500
2 Cr 0.3060 0.5560 0.7500
3 Cr 0.3734 0.1234 0.2500
4 Cr 0.4440 0.6940 0.7500
5 Cr 0.5560 0.3060 0.2500
6 Cr 0.6266 0.8766 0.7500
7 Cr 0.6940 0.4440 0.2500
8 Cr 0.8766 0.6266 0.2500
9 Se 0.0572 0.8072 0.2500
10 Se 0.1928 0.9428 0.2500
11 Se 0.8072 0.0572 0.7500
12 Se 0.9428 0.1928 0.7500

Summary:
The value obtained for the energy above the most stable polymorph in this dataset is 0.2687 eV per atom. Its uncorrected formation energy is 0.155 eV per atom. Its symmetry is I4_1/amd, No. 141.



Record 3
The following is a DFT calculation (PBE) of crystalline CrSe at its relaxed geometry.

a = 5.9805 Å, b = 5.9805 Å, c = 4.5572 Å
α = 90.00°, β = 90.00°, γ = 90.00°
Element x y z (fractional)
1 Cr 0.1075 0.1075 0.0000
2 Cr 0.3925 0.6075 0.5000
3 Cr 0.6075 0.3925 0.5000
4 Cr 0.8925 0.8925 0.0000
5 Se 0.2161 0.2161 0.5000
6 Se 0.2839 0.7161 0.0000
7 Se 0.7161 0.2839 0.0000
8 Se 0.7839 0.7839 0.5000

Summary:
Its uncorrected formation energy is -0.052 eV per atom. Its symmetry is P4_2/mnm, No. 136.